--- A ---
# AcMgIr (PBE-GGA, relaxed)
# M_tot   0.00 μB/f.u.
# Crystal system   cubic
data_AcMgIr
_cell_length_a 7.065
_cell_length_b 7.065
_cell_length_c 7.065
_cell_angle_alpha 90.00
_cell_angle_beta 90.00
_cell_angle_gamma 90.00
_space_group_name_H-M_alt 'F -4 3 m'
_space_group_IT_number 216
_space_group_name_Hall 'F -4 2 3'
loop_
_atom_site_label
_atom_site_type_symbol
_atom_site_fract_x
_atom_site_fract_y
_atom_site_fract_z
Ac1 Ac 0.000 0.000 0.000
Mg1 Mg 0.250 0.250 0.250
Ir1 Ir 0.250 0.250 0.750

--- B ---
# AcMgIr (PBE-GGA, relaxed)
# M_tot   0.00 μB/f.u.
# Crystal system   orthorhombic
data_AcMgIr
_cell_length_a 7.502
_cell_length_b 4.303
_cell_length_c 8.959
_cell_angle_alpha 90.00
_cell_angle_beta 90.00
_cell_angle_gamma 90.00
_space_group_name_H-M_alt 'P n m a'
_space_group_IT_number 62
_space_group_name_Hall '-P 2ac 2n'
loop_
_atom_site_label
_atom_site_type_symbol
_atom_site_fract_x
_atom_site_fract_y
_atom_site_fract_z
Ac1 Ac 0.037 0.250 0.180
Mg1 Mg 0.130 0.250 0.555
Ir1 Ir 0.239 0.750 0.376

B wins, 1.009 eV/atom ahead of the next structure.